*A*
VASP calculation (PBE) on crystalline Nd12Ho5Er2 at its relaxed geometry.

abc: 10.628 9.271 8.081
angles: 86.80 90.00 124.97
Element x y z (fractional)
1 Nd 0.131 0.261 0.895
2 Nd 0.960 0.370 0.208
3 Nd 0.445 0.890 0.712
4 Nd 0.834 0.213 0.615
5 Nd 0.555 0.110 0.288
6 Nd 0.590 0.630 0.792
7 Nd 0.621 0.787 0.385
8 Nd 0.166 0.787 0.385
9 Nd 0.410 0.370 0.208
10 Nd 0.379 0.213 0.615
11 Nd 0.869 0.739 0.105
12 Nd 0.040 0.630 0.792
13 Er 0.270 0.000 0.000
14 Er 0.730 0.000 0.000
15 Ho 0.656 0.312 0.904
16 Ho 0.344 0.688 0.096
17 Ho 0.241 0.483 0.513
18 Ho 0.759 0.517 0.487
19 Ho 0.000 0.000 0.500



*B*
VASP calculation (PBE) on crystalline Nd12Ho5Er2 at its relaxed geometry.

abc: 11.743 10.730 6.234
angles: 100.38 90.00 123.17
Element x y z (fractional)
1 Ho 0.000 0.000 0.500
2 Ho 0.216 0.432 0.556
3 Ho 0.322 0.644 0.140
4 Ho 0.678 0.356 0.860
5 Ho 0.784 0.568 0.444
6 Nd 0.648 0.793 0.383
7 Nd 0.061 0.607 0.802
8 Nd 0.856 0.207 0.617
9 Nd 0.119 0.238 0.004
10 Nd 0.939 0.393 0.198
11 Nd 0.546 0.607 0.802
12 Nd 0.881 0.762 0.996
13 Nd 0.454 0.393 0.198
14 Nd 0.444 0.888 0.727
15 Nd 0.352 0.207 0.617
16 Nd 0.556 0.112 0.273
17 Nd 0.144 0.793 0.383
18 Er 0.768 0.000 0.000
19 Er 0.232 0.000 0.000



Tell me which of them is the most stable. Sure, it is *B*.



*A*
VASP calculation (PBE) on crystalline Nd12HoEr7 at its relaxed geometry.

abc: 8.836 8.836 8.836
angles: 86.75 86.75 86.75
Element x y z (fractional)
1 Nd 0.244 0.650 0.774
2 Nd 0.580 0.899 0.653
3 Nd 0.653 0.580 0.899
4 Nd 0.650 0.774 0.244
5 Nd 0.347 0.420 0.101
6 Nd 0.899 0.653 0.580
7 Nd 0.350 0.226 0.756
8 Nd 0.774 0.244 0.650
9 Nd 0.101 0.347 0.420
10 Nd 0.756 0.350 0.226
11 Nd 0.420 0.101 0.347
12 Nd 0.226 0.756 0.350
13 Er 0.114 0.995 0.640
14 Er 0.886 0.005 0.360
15 Er 0.640 0.114 0.995
16 Er 0.995 0.640 0.114
17 Er 0.005 0.360 0.886
18 Er 0.360 0.886 0.005
19 Er 0.500 0.500 0.500
20 Ho 0.000 0.000 0.000



*B*
VASP calculation (PBE) on crystalline Nd12HoEr7 at its relaxed geometry.

abc: 6.213 11.528 11.528
angles: 116.85 100.35 100.35
Element x y z (fractional)
1 Nd 0.501 0.588 0.413
2 Nd 0.416 0.001 0.353
3 Nd 0.499 0.412 0.587
4 Nd 0.912 0.413 0.825
5 Nd 0.087 0.175 0.588
6 Nd 0.913 0.825 0.412
7 Nd 0.937 0.353 0.352
8 Nd 0.063 0.647 0.648
9 Nd 0.415 0.352 0.999
10 Nd 0.584 0.999 0.647
11 Nd 0.585 0.648 0.001
12 Nd 0.088 0.587 0.175
13 Ho 0.000 0.000 0.000
14 Er 0.125 0.757 0.001
15 Er 0.875 0.243 0.999
16 Er 0.368 0.244 0.243
17 Er 0.632 0.756 0.757
18 Er 0.876 0.001 0.244
19 Er 0.500 0.000 0.000
20 Er 0.124 0.999 0.756



Tell me which of them is the most stable. Sure, it is *A*.



*A*
VASP calculation (PBE) on crystalline NdHo7Er4 at its relaxed geometry.

abc: 5.828 11.462 6.671
angles: 83.07 64.10 75.27
Element x y z (fractional)
1 Ho 0.942 0.330 0.787
2 Ho 0.058 0.670 0.213
3 Ho 0.500 0.000 0.000
4 Ho 0.365 0.504 0.766
5 Ho 0.211 0.078 0.500
6 Ho 0.789 0.922 0.500
7 Ho 0.635 0.496 0.234
8 Er 0.368 0.774 0.489
9 Er 0.251 0.315 0.182
10 Er 0.749 0.685 0.818
11 Er 0.632 0.226 0.511
12 Nd 0.000 0.000 0.000



*B*
VASP calculation (PBE) on crystalline NdHo7Er4 at its relaxed geometry.

abc: 7.120 6.161 11.295
angles: 79.53 50.90 90.01
Element x y z (fractional)
1 Ho 0.665 0.223 0.335
2 Ho 0.500 0.000 0.000
3 Ho 0.916 0.721 0.336
4 Ho 0.251 0.500 0.000
5 Ho 0.749 0.500 0.000
6 Ho 0.335 0.777 0.665
7 Ho 0.084 0.279 0.664
8 Er 0.165 0.221 0.335
9 Er 0.413 0.722 0.335
10 Er 0.835 0.779 0.665
11 Er 0.587 0.278 0.665
12 Nd 0.000 0.000 0.000



Tell me which of them is the most stable. Sure, it is *B*.



*A*
VASP calculation (PBE) on crystalline Nd6HoEr2 at its relaxed geometry.

abc: 3.665 10.023 10.023
angles: 56.00 89.99 89.99
Element x y z (fractional)
1 Er 0.500 0.177 0.177
2 Er 0.500 0.823 0.823
3 Ho 0.000 0.000 0.000
4 Nd 0.000 0.490 0.841
5 Nd 0.000 0.159 0.510
6 Nd 0.000 0.841 0.490
7 Nd 0.000 0.510 0.159
8 Nd 0.500 0.684 0.316
9 Nd 0.500 0.316 0.684



*B*
VASP calculation (PBE) on crystalline Nd6HoEr2 at its relaxed geometry.

abc: 8.274 8.274 10.487
angles: 90.00 90.00 90.00
Element x y z (fractional)
1 Nd 0.739 0.739 0.333
2 Nd 0.739 0.739 0.667
3 Nd 0.261 0.261 0.000
4 Nd 0.761 0.239 0.500
5 Nd 0.239 0.761 0.500
6 Nd 0.239 0.761 0.167
7 Nd 0.761 0.239 0.167
8 Nd 0.239 0.761 0.833
9 Nd 0.761 0.239 0.833
10 Nd 0.261 0.261 0.333
11 Nd 0.739 0.739 0.000
12 Nd 0.261 0.261 0.667
13 Ho 0.500 0.500 0.500
14 Ho 0.000 0.000 0.000
15 Er 0.500 0.500 0.166
16 Er 0.000 0.000 0.666
17 Er 0.500 0.500 0.834
18 Er 0.000 0.000 0.334



Tell me which of them is the most stable. Sure, it is *A*.



*A*
VASP calculation (PBE) on crystalline NdHo6Er4 at its relaxed geometry.

abc: 5.646 5.574 25.555
angles: 90.00 90.00 120.43
Element x y z (fractional)
1 Ho 0.182 0.365 0.898
2 Ho 0.485 0.971 0.250
3 Ho 0.850 0.699 0.680
4 Ho 0.500 0.000 0.000
5 Ho 0.150 0.301 0.180
6 Ho 0.818 0.635 0.398
7 Ho 0.515 0.029 0.750
8 Ho 0.500 0.000 0.500
9 Ho 0.850 0.699 0.820
10 Ho 0.818 0.635 0.102
11 Ho 0.182 0.365 0.602
12 Ho 0.150 0.301 0.320
13 Er 0.519 0.038 0.621
14 Er 0.481 0.962 0.379
15 Er 0.519 0.038 0.879
16 Er 0.161 0.321 0.042
17 Er 0.161 0.321 0.458
18 Er 0.839 0.679 0.958
19 Er 0.481 0.962 0.121
20 Er 0.839 0.679 0.542
21 Nd 0.819 0.639 0.250
22 Nd 0.181 0.361 0.750



*B*
VASP calculation (PBE) on crystalline NdHo6Er4 at its relaxed geometry.

abc: 7.573 7.573 8.441
angles: 116.65 116.65 90.00
Element x y z (fractional)
1 Ho 0.000 0.500 0.000
2 Ho 0.500 0.000 0.000
3 Ho 0.557 0.557 0.628
4 Ho 0.070 0.070 0.628
5 Ho 0.443 0.930 0.372
6 Ho 0.930 0.443 0.372
7 Er 0.240 0.240 0.156
8 Er 0.085 0.760 0.844
9 Er 0.760 0.085 0.844
10 Er 0.915 0.915 0.156
11 Nd 0.500 0.500 0.000



Tell me which of them is the most stable. Sure, it is *A*.



*A*
VASP calculation (PBE) on crystalline Nd3Ho8Er2 at its relaxed geometry.

abc: 5.029 7.960 10.668
angles: 85.74 103.63 89.97
Element x y z (fractional)
1 Ho 0.382 0.921 0.764
2 Ho 0.307 0.539 0.613
3 Ho 0.844 0.230 0.688
4 Ho 0.078 0.386 0.158
5 Ho 0.156 0.770 0.312
6 Ho 0.922 0.614 0.842
7 Ho 0.693 0.461 0.387
8 Ho 0.618 0.079 0.236
9 Nd 0.000 0.000 0.000
10 Nd 0.461 0.307 0.922
11 Nd 0.539 0.693 0.078
12 Er 0.231 0.154 0.463
13 Er 0.769 0.846 0.537



*B*
VASP calculation (PBE) on crystalline Nd3Ho8Er2 at its relaxed geometry.

abc: 5.629 7.709 10.698
angles: 111.12 90.02 90.00
Element x y z (fractional)
1 Ho 0.000 0.136 0.271
2 Ho 0.500 0.401 0.220
3 Ho 0.001 0.672 0.345
4 Ho 0.999 0.328 0.655
5 Ho 0.500 0.818 0.220
6 Ho 0.000 0.864 0.729
7 Ho 0.500 0.599 0.780
8 Ho 0.500 0.182 0.780
9 Nd 0.500 0.000 0.000
10 Nd 0.000 0.293 0.000
11 Nd 0.000 0.707 0.000
12 Er 0.501 0.759 0.518
13 Er 0.499 0.241 0.482



Tell me which of them is the most stable. Sure, it is *A*.



*A*
VASP calculation (PBE) on crystalline Nd3Ho5Er4 at its relaxed geometry.

abc: 5.897 8.500 9.633
angles: 105.90 72.18 69.70
Element x y z (fractional)
1 Nd 0.522 0.687 0.270
2 Nd 0.000 0.500 0.500
3 Nd 0.478 0.313 0.730
4 Er 0.833 0.959 0.376
5 Er 0.140 0.778 0.941
6 Er 0.167 0.041 0.624
7 Er 0.860 0.222 0.059
8 Ho 0.500 0.500 0.500
9 Ho 0.623 0.951 0.804
10 Ho 0.784 0.543 0.888
11 Ho 0.216 0.457 0.112
12 Ho 0.377 0.049 0.196



*B*
VASP calculation (PBE) on crystalline Nd3Ho5Er4 at its relaxed geometry.

abc: 7.111 11.242 12.816
angles: 151.28 56.40 129.24
Element x y z (fractional)
1 Er 0.082 0.165 0.331
2 Er 0.167 0.333 0.166
3 Er 0.918 0.835 0.669
4 Er 0.833 0.667 0.834
5 Ho 0.333 0.668 0.835
6 Ho 0.252 0.499 0.999
7 Ho 0.667 0.332 0.165
8 Ho 0.748 0.501 0.001
9 Ho 0.500 0.000 0.500
10 Nd 0.585 0.168 0.334
11 Nd 0.415 0.832 0.666
12 Nd 0.000 0.000 0.500



Tell me which of them is the most stable. Sure, it is *B*.



*A*
VASP calculation (PBE) on crystalline Nd2Ho3Er5 at its relaxed geometry.

abc: 9.360 9.393 11.082
angles: 125.32 125.26 68.55
Element x y z (fractional)
1 Er 0.609 0.853 0.240
2 Er 0.391 0.147 0.760
3 Er 0.476 0.726 0.452
4 Er 0.723 0.473 0.946
5 Er 0.981 0.231 0.462
6 Er 0.131 0.387 0.240
7 Er 0.019 0.769 0.538
8 Er 0.524 0.274 0.548
9 Er 0.277 0.527 0.054
10 Er 0.869 0.613 0.760
11 Ho 0.729 0.465 0.244
12 Ho 0.985 0.221 0.756
13 Ho 0.271 0.535 0.756
14 Ho 0.772 0.022 0.044
15 Ho 0.228 0.978 0.956
16 Ho 0.015 0.779 0.244
17 Nd 0.532 0.269 0.255
18 Nd 0.223 0.986 0.255
19 Nd 0.777 0.014 0.745
20 Nd 0.468 0.731 0.745



*B*
VASP calculation (PBE) on crystalline Nd2Ho3Er5 at its relaxed geometry.

abc: 6.743 12.268 12.268
angles: 44.80 74.05 74.05
Element x y z (fractional)
1 Nd 0.626 0.977 0.772
2 Nd 0.874 0.228 0.023
3 Nd 0.374 0.023 0.228
4 Nd 0.126 0.772 0.977
5 Er 0.750 0.500 0.500
6 Er 0.998 0.252 0.252
7 Er 0.624 0.288 0.463
8 Er 0.002 0.748 0.748
9 Er 0.376 0.712 0.537
10 Er 0.876 0.537 0.712
11 Er 0.124 0.463 0.288
12 Er 0.498 0.252 0.252
13 Er 0.502 0.748 0.748
14 Er 0.250 0.500 0.500
15 Ho 0.626 0.623 0.125
16 Ho 0.374 0.377 0.875
17 Ho 0.250 0.000 0.000
18 Ho 0.750 0.000 0.000
19 Ho 0.126 0.125 0.623
20 Ho 0.874 0.875 0.377



Tell me which of them is the most stable. Sure, it is *A*.